Record 1
First-principles (PBE) data for a geometry-optimized TmPuPtO6 structure, as listed in Alexandria. Values from VASP.

- calculated volume (Å³/atom) = 12.89
- SG = P-31c (163)
- crystal system = trigonal
- raw formation energy (meV per atom) = -2066.6

Cell and atoms, written as Quantum ESPRESSO input:
```
&SYSTEM
  ibrav = 0, nat = 18, ntyp = 4
/
ATOMIC_SPECIES
Tm 168.93 Tm.upf
Pu 244.00 Pu.upf
Pt 195.08 Pt.upf
O 16.00 O.upf
ATOMIC_POSITIONS crystal
Tm 0.333 0.667 0.250
Tm 0.667 0.333 0.750
Pu 0.333 0.667 0.750
Pu 0.667 0.333 0.250
Pt 0.000 0.000 0.000
Pt 0.000 0.000 0.500
O 0.014 0.328 0.623
O 0.014 0.686 0.877
O 0.314 0.328 0.877
O 0.314 0.986 0.623
O 0.328 0.014 0.123
O 0.328 0.314 0.377
O 0.672 0.686 0.623
O 0.672 0.986 0.877
O 0.686 0.014 0.377
O 0.686 0.672 0.123
O 0.986 0.314 0.123
O 0.986 0.672 0.377
CELL_PARAMETERS angstrom
5.566 0.000 0.000
-2.783 4.821 0.000
0.000 0.000 8.648
```


Record 2
First-principles (PBE) data for a geometry-optimized RbMgTaO4 structure, as listed in Alexandria. Values from VASP.

- calculated volume (Å³/atom) = 22.79
- SG = P2_1/m (11)
- crystal system = monoclinic
- raw formation energy (meV per atom) = -2558.7

Cell and atoms, written as Quantum ESPRESSO input:
```
&SYSTEM
  ibrav = 0, nat = 14, ntyp = 4
/
ATOMIC_SPECIES
Rb 85.47 Rb.upf
Mg 24.30 Mg.upf
Ta 180.95 Ta.upf
O 16.00 O.upf
ATOMIC_POSITIONS crystal
Rb 0.147 0.250 0.342
Rb 0.853 0.750 0.658
Mg 0.122 0.750 0.025
Mg 0.878 0.250 0.975
Ta 0.281 0.250 0.802
Ta 0.719 0.750 0.198
O 0.123 0.005 0.886
O 0.123 0.495 0.886
O 0.193 0.250 0.619
O 0.392 0.750 0.161
O 0.608 0.250 0.839
O 0.807 0.750 0.381
O 0.877 0.505 0.114
O 0.877 0.995 0.114
CELL_PARAMETERS angstrom
5.699 0.000 0.000
0.000 5.707 0.000
-0.875 0.000 9.810
```


Record 3
First-principles (PBE) data for a geometry-optimized BPW structure, as listed in Alexandria. Values from VASP.

- DFT formation energy (eV/atom) = -0.028
- calculated volume (Å³/atom) = 13.46
- SG = Cmcm (63)
- crystal system = orthorhombic

Cell and atoms, written as Quantum ESPRESSO input:
```
&SYSTEM
  ibrav = 0, nat = 6, ntyp = 3
/
ATOMIC_SPECIES
B 10.81 B.upf
P 30.97 P.upf
W 183.84 W.upf
ATOMIC_POSITIONS crystal
B 0.027 0.973 0.750
B 0.973 0.027 0.250
P 0.162 0.838 0.750
P 0.838 0.162 0.250
W 0.424 0.576 0.750
W 0.576 0.424 0.250
CELL_PARAMETERS angstrom
1.581 -8.348 0.000
1.581 8.348 0.000
0.000 0.000 3.059
```


Record 4
First-principles (PBE) data for a geometry-optimized Pa8Ga structure, as listed in Alexandria. Values from VASP.

- DFT formation energy (eV/atom) = 0.013
- calculated volume (Å³/atom) = 24.19
- energy above the lowest structure with this stoichiometry (kJ/mol of formula units) = 66.5
- SG = I4/mmm (139)
- crystal system = tetragonal

Cell and atoms, written as Quantum ESPRESSO input:
```
&SYSTEM
  ibrav = 0, nat = 9, ntyp = 2
/
ATOMIC_SPECIES
Pa 231.04 Pa.upf
Ga 69.72 Ga.upf
ATOMIC_POSITIONS crystal
Pa 0.000 0.331 0.331
Pa 0.000 0.669 0.669
Pa 0.331 0.000 0.331
Pa 0.337 0.337 0.673
Pa 0.337 0.663 0.000
Pa 0.663 0.337 0.000
Pa 0.663 0.663 0.327
Pa 0.669 0.000 0.669
Ga 0.000 0.000 0.000
CELL_PARAMETERS angstrom
-5.818 5.818 1.608
5.818 -5.818 1.608
5.818 5.818 -1.608
```


Record 5
First-principles (PBE) data for a geometry-optimized K3LiZr structure, as listed in Alexandria. Values from VASP.

- DFT formation energy (eV/atom) = 1.055
- calculated volume (Å³/atom) = 52.84
- energy above the lowest structure with this stoichiometry (kJ/mol of formula units) = 0.0
- SG = Pm-3m (221)
- crystal system = cubic

Cell and atoms, written as Quantum ESPRESSO input:
```
&SYSTEM
  ibrav = 0, nat = 5, ntyp = 3
/
ATOMIC_SPECIES
K 39.10 K.upf
Li 6.94 Li.upf
Zr 91.22 Zr.upf
ATOMIC_POSITIONS crystal
K 0.000 0.000 0.500
K 0.000 0.500 0.000
K 0.500 0.000 0.000
Li 0.000 0.000 0.000
Zr 0.500 0.500 0.500
CELL_PARAMETERS angstrom
6.417 0.000 0.000
0.000 6.417 0.000
0.000 0.000 6.417
```


Record 6
First-principles (PBE) data for a geometry-optimized CaCl2 structure, as listed in Alexandria. Values from VASP.

- calculated volume (Å³/atom) = 31.79
- SG = Pnma (62)
- crystal system = orthorhombic
- raw formation energy (meV per atom) = -2385.1

Cell and atoms, written as Quantum ESPRESSO input:
```
&SYSTEM
  ibrav = 0, nat = 12, ntyp = 2
/
ATOMIC_SPECIES
Ca 40.08 Ca.upf
Cl 35.45 Cl.upf
ATOMIC_POSITIONS crystal
Ca 0.006 0.250 0.125
Ca 0.494 0.750 0.625
Ca 0.506 0.250 0.375
Ca 0.994 0.750 0.875
Cl 0.005 0.750 0.090
Cl 0.006 0.250 0.339
Cl 0.494 0.750 0.839
Cl 0.495 0.250 0.590
Cl 0.505 0.750 0.410
Cl 0.506 0.250 0.161
Cl 0.994 0.750 0.661
Cl 0.995 0.250 0.910
CELL_PARAMETERS angstrom
5.440 0.000 0.000
0.000 5.444 0.000
0.000 0.000 12.883
```


Record 7
First-principles (PBE) data for a geometry-optimized SiRuSeN2 structure, as listed in Alexandria. Values from VASP.

- calculated volume (Å³/atom) = 17.46
- energy above the lowest structure with this stoichiometry (kJ/mol of formula units) = 0.0
- SG = P4/mmm (123)
- crystal system = tetragonal
- raw formation energy (meV per atom) = 810.1

Cell and atoms, written as Quantum ESPRESSO input:
```
&SYSTEM
  ibrav = 0, nat = 5, ntyp = 4
/
ATOMIC_SPECIES
Si 28.09 Si.upf
Ru 101.07 Ru.upf
Se 78.96 Se.upf
N 14.01 N.upf
ATOMIC_POSITIONS crystal
Si 0.000 0.000 0.000
Ru 0.500 0.500 0.500
Se 0.000 0.000 0.500
N 0.000 0.500 0.000
N 0.500 0.000 0.000
CELL_PARAMETERS angstrom
3.430 0.000 0.000
0.000 3.430 0.000
0.000 0.000 7.418
```


Record 8
First-principles (PBE) data for a geometry-optimized Sm2ThGe2 structure, as listed in Alexandria. Values from VASP.

- DFT formation energy (eV/atom) = -0.696
- calculated volume (Å³/atom) = 26.26
- SG = P4/mbm (127)
- crystal system = tetragonal

Cell and atoms, written as Quantum ESPRESSO input:
```
&SYSTEM
  ibrav = 0, nat = 10, ntyp = 3
/
ATOMIC_SPECIES
Sm 150.36 Sm.upf
Th 232.04 Th.upf
Ge 72.64 Ge.upf
ATOMIC_POSITIONS crystal
Sm 0.166 0.334 0.000
Sm 0.334 0.834 0.000
Sm 0.666 0.166 0.000
Sm 0.834 0.666 0.000
Th 0.000 0.000 0.500
Th 0.500 0.500 0.500
Ge 0.133 0.633 0.500
Ge 0.367 0.133 0.500
Ge 0.633 0.867 0.500
Ge 0.867 0.367 0.500
CELL_PARAMETERS angstrom
7.976 0.000 0.000
0.000 7.976 0.000
0.000 0.000 4.128
```


Record 9
First-principles (PBE) data for a geometry-optimized Rb3LiI6 structure, as listed in Alexandria. Values from VASP.

- calculated volume (Å³/atom) = 50.37
- SG = Fm-3m (225)
- crystal system = cubic
- raw formation energy (meV per atom) = -898.7

Cell and atoms, written as Quantum ESPRESSO input:
```
&SYSTEM
  ibrav = 0, nat = 10, ntyp = 3
/
ATOMIC_SPECIES
Rb 85.47 Rb.upf
Li 6.94 Li.upf
I 126.90 I.upf
ATOMIC_POSITIONS crystal
Rb 0.000 0.000 0.000
Rb 0.250 0.250 0.250
Rb 0.750 0.750 0.750
Li 0.500 0.500 0.500
I 0.274 0.274 0.726
I 0.274 0.726 0.274
I 0.274 0.726 0.726
I 0.726 0.274 0.274
I 0.726 0.274 0.726
I 0.726 0.726 0.274
CELL_PARAMETERS angstrom
0.000 6.315 6.315
6.315 0.000 6.315
6.315 6.315 0.000
```


Record 10
First-principles (PBE) data for a geometry-optimized ZrTiNiMo structure, as listed in Alexandria. Values from VASP.

- DFT formation energy (eV/atom) = -0.202
- calculated volume (Å³/atom) = 16.20
- SG = F-43m (216)
- crystal system = cubic

Cell and atoms, written as Quantum ESPRESSO input:
```
&SYSTEM
  ibrav = 0, nat = 4, ntyp = 4
/
ATOMIC_SPECIES
Zr 91.22 Zr.upf
Ti 47.87 Ti.upf
Ni 58.69 Ni.upf
Mo 95.94 Mo.upf
ATOMIC_POSITIONS crystal
Zr 0.000 0.000 0.000
Ti 0.500 0.500 0.500
Ni 0.750 0.750 0.750
Mo 0.250 0.250 0.250
CELL_PARAMETERS angstrom
0.000 3.188 3.188
3.188 0.000 3.188
3.188 3.188 0.000
```


Record 11
First-principles (PBE) data for a geometry-optimized TaRu2Rh structure, as listed in Alexandria. Values from VASP.

- DFT formation energy (eV/atom) = -0.163
- calculated volume (Å³/atom) = 15.01
- energy above the lowest structure with this stoichiometry (kJ/mol of formula units) = 66.0
- SG = C2/m (12)
- crystal system = monoclinic

Cell and atoms, written as Quantum ESPRESSO input:
```
&SYSTEM
  ibrav = 0, nat = 4, ntyp = 3
/
ATOMIC_SPECIES
Ta 180.95 Ta.upf
Ru 101.07 Ru.upf
Rh 102.91 Rh.upf
ATOMIC_POSITIONS crystal
Ta 0.000 0.000 0.000
Ru 0.249 0.249 0.737
Ru 0.751 0.751 0.263
Rh 0.500 0.500 0.500
CELL_PARAMETERS angstrom
4.539 -1.404 0.000
4.539 1.404 0.000
-0.901 0.000 4.711
```


Record 12
First-principles (PBE) data for a geometry-optimized Pd2SeCl structure, as listed in Alexandria. Values from VASP.

- calculated volume (Å³/atom) = 21.67
- energy above the lowest structure with this stoichiometry (kJ/mol of formula units) = 75.2
- SG = I-42d (122)
- crystal system = tetragonal
- raw formation energy (meV per atom) = -108.5

Cell and atoms, written as Quantum ESPRESSO input:
```
&SYSTEM
  ibrav = 0, nat = 8, ntyp = 3
/
ATOMIC_SPECIES
Pd 106.42 Pd.upf
Se 78.96 Se.upf
Cl 35.45 Cl.upf
ATOMIC_POSITIONS crystal
Pd 0.102 0.625 0.977
Pd 0.375 0.352 0.477
Pd 0.648 0.125 0.023
Pd 0.875 0.898 0.523
Se 0.000 0.000 0.000
Se 0.750 0.250 0.500
Cl 0.250 0.750 0.500
Cl 0.500 0.500 0.000
CELL_PARAMETERS angstrom
-3.213 3.213 4.200
3.213 -3.213 4.200
3.213 3.213 -4.200
```